# RbTl2Cd

An optimized crystal structure of RbTl2Cd (PBE-GGA, Alexandria).

Cell lengths 7.426, 7.426, 7.426 Å; angles 40.25, 40.25, 40.25 degrees
Fractional coordinates of all 4 atoms:
Rb1 0.000 0.000 0.000
Tl1 0.550 0.550 0.550
Tl2 0.789 0.789 0.789
Cd1 0.182 0.182 0.182

Properties
Formation enthalpy at 0 K   -1.1 kcal/mol of atoms
Space-group type   R3m, No. 160
E above lowest polymorph   36.4 meV per atom
V   154.1 Å³/cell
Density   6.536 g/cm3

---

# HfPICl2

An optimized crystal structure of HfPICl2 (PBE-GGA, Alexandria).

Cell lengths 4.888, 4.888, 5.384 Å; angles 90.00, 90.00, 90.00 degrees
Fractional coordinates of all 5 atoms:
Hf1 0.000 0.000 0.000
P1 0.000 0.000 0.500
I1 0.500 0.500 0.500
Cl1 0.000 0.500 0.000
Cl2 0.500 0.000 0.000

Properties
Formation energy without anion corrections   -612 meV per atom
Space-group type   P4/mmm, No. 123
E above lowest polymorph   0.0 meV per atom
V   128.6 Å³/cell
Density   5.259 g/cm3